Record 1
MgAlRh meta-GGA SCAN single point on PBEsol structure; DFT total energy = -47.8 eV per cell; space group = P3m1; crystal system = trigonal
1.0
2.930 0.000 0.000
-1.465 2.537 0.000
0.000 0.000 6.472
Mg Al Rh
1 1 1
Direct
0.000 0.000 0.000
0.667 0.333 0.391
0.333 0.667 0.675



Record 2
MgAlRh2 meta-GGA SCAN single point on PBEsol structure; DFT total energy = -248.6 eV per cell; space group = R-3m; crystal system = trigonal
1.0
2.871 0.000 0.000
-1.435 2.486 0.000
0.000 0.000 24.370
Mg Al Rh
3 3 6
Direct
0.000 0.000 0.000
0.333 0.667 0.667
0.667 0.333 0.333
0.000 0.000 0.500
0.333 0.667 0.167
0.667 0.333 0.833
0.000 0.000 0.244
0.000 0.000 0.756
0.333 0.667 0.422
0.333 0.667 0.911
0.667 0.333 0.089
0.667 0.333 0.578



Record 3
MgAlRh2 meta-GGA SCAN single point on PBEsol structure; DFT total energy = -337.2 eV per cell; space group = Fm-3m; crystal system = cubic
1.0
6.031 0.000 0.000
0.000 6.031 0.000
0.000 0.000 6.031
Mg Al Rh
4 4 8
Direct
0.000 0.000 0.000
0.000 0.500 0.500
0.500 0.000 0.500
0.500 0.500 0.000
0.000 0.000 0.500
0.000 0.500 0.000
0.500 0.000 0.000
0.500 0.500 0.500
0.250 0.250 0.250
0.250 0.250 0.750
0.250 0.750 0.250
0.250 0.750 0.750
0.750 0.250 0.250
0.750 0.250 0.750
0.750 0.750 0.250
0.750 0.750 0.750



Record 4
Mg17Al11Rh meta-GGA SCAN single point on PBEsol structure; DFT total energy = -206.6 eV per cell; space group = Cm; crystal system = monoclinic
1.0
5.205 -7.371 0.000
5.205 7.371 0.000
-5.137 0.000 7.283
Mg Al Rh
17 11 1
Direct
0.000 0.000 0.000
0.000 0.665 0.365
0.002 0.002 0.363
0.004 0.405 0.043
0.285 0.601 0.956
0.321 0.321 0.068
0.322 0.719 0.673
0.356 0.356 0.703
0.405 0.004 0.043
0.411 0.689 0.359
0.601 0.285 0.956
0.618 0.618 0.640
0.665 0.000 0.365
0.689 0.411 0.359
0.689 0.998 0.746
0.719 0.322 0.673
0.998 0.689 0.746
0.006 0.372 0.546
0.178 0.997 0.718
0.182 0.818 0.171
0.189 0.369 0.355
0.369 0.189 0.355
0.372 0.006 0.546
0.635 0.819 0.992
0.646 0.646 0.199
0.818 0.182 0.171
0.819 0.635 0.992
0.997 0.178 0.718
0.829 0.829 0.543



Record 5
Mg2AlRh2 meta-GGA SCAN single point on PBEsol structure; DFT total energy = -178.0 eV per cell; space group = P4/mbm; crystal system = tetragonal
1.0
6.294 0.000 0.000
0.000 6.294 0.000
0.000 0.000 4.105
Mg Al Rh
4 2 4
Direct
0.163 0.337 0.000
0.337 0.837 0.000
0.663 0.163 0.000
0.837 0.663 0.000
0.000 0.000 0.500
0.500 0.500 0.500
0.144 0.644 0.500
0.356 0.144 0.500
0.644 0.856 0.500
0.856 0.356 0.500



Record 6
MgAlRu2 meta-GGA SCAN single point on PBEsol structure; DFT total energy = -166.3 eV per cell; space group = C2/m; crystal system = monoclinic
1.0
8.448 0.000 0.000
0.000 2.838 0.000
-1.045 0.000 4.826
Mg Al Ru
2 2 4
Direct
0.000 0.000 0.000
0.500 0.500 0.000
0.000 0.500 0.500
0.500 0.000 0.500
0.239 0.000 0.728
0.261 0.500 0.272
0.739 0.500 0.728
0.761 0.000 0.272



Record 7
MgAl2S4 meta-GGA SCAN single point on PBEsol structure; DFT total energy = -68.6 eV per cell; space group = R-3m; crystal system = trigonal; energy relative to the elements, uncorrected = -1374 meV/atom
1.0
1.838 1.061 12.389
-1.838 1.061 12.389
0.000 -2.123 12.389
Mg Al S
1 2 4
Direct
0.000 0.000 0.000
0.238 0.238 0.238
0.762 0.762 0.762
0.121 0.121 0.121
0.296 0.296 0.296
0.704 0.704 0.704
0.879 0.879 0.879



Record 8
MgAl2S4 meta-GGA SCAN single point on PBEsol structure; DFT total energy = -275.3 eV per cell; space group = Pnma; crystal system = orthorhombic; energy relative to the elements, uncorrected = -1405 meV/atom
1.0
12.489 0.000 0.000
0.000 7.187 0.000
0.000 0.000 5.913
Mg Al S
4 8 16
Direct
0.235 0.250 0.001
0.265 0.750 0.501
0.735 0.250 0.499
0.765 0.750 0.999
0.000 0.000 0.500
0.000 0.500 0.500
0.085 0.750 0.090
0.415 0.250 0.590
0.500 0.000 0.000
0.500 0.500 0.000
0.585 0.750 0.410
0.915 0.250 0.910
0.075 0.250 0.728
0.084 0.750 0.712
0.159 0.503 0.262
0.159 0.997 0.262
0.341 0.003 0.762
0.341 0.497 0.762
0.416 0.250 0.212
0.425 0.750 0.228
0.575 0.250 0.772
0.584 0.750 0.788
0.659 0.503 0.238
0.659 0.997 0.238
0.841 0.003 0.738
0.841 0.497 0.738
0.916 0.250 0.288
0.925 0.750 0.272



Record 9
MgAl2S4 meta-GGA SCAN single point on PBEsol structure; DFT total energy = -137.4 eV per cell; space group = Fd-3m; crystal system = cubic; energy relative to the elements, uncorrected = -1389 meV/atom
1.0
0.000 5.077 5.077
5.077 0.000 5.077
5.077 5.077 0.000
Mg Al S
2 4 8
Direct
0.125 0.125 0.125
0.875 0.875 0.875
0.000 0.500 0.500
0.500 0.000 0.500
0.500 0.500 0.000
0.500 0.500 0.500
0.262 0.262 0.262
0.262 0.262 0.714
0.262 0.714 0.262
0.286 0.738 0.738
0.714 0.262 0.262
0.738 0.286 0.738
0.738 0.738 0.286
0.738 0.738 0.738



Record 10
Mg2Ti3AlS8 meta-GGA SCAN single point on PBEsol structure; DFT total energy = -163.7 eV per cell; space group = R-3m; crystal system = trigonal; energy relative to the elements, uncorrected = -1495 meV/atom
1.0
3.546 2.047 6.096
-3.546 2.047 6.096
0.000 -4.095 6.096
Mg Ti Al S
2 3 1 8
Direct
0.128 0.128 0.128
0.872 0.872 0.872
0.000 0.500 0.500
0.500 0.000 0.500
0.500 0.500 0.000
0.500 0.500 0.500
0.260 0.260 0.260
0.264 0.264 0.718
0.264 0.718 0.264
0.282 0.736 0.736
0.718 0.264 0.264
0.736 0.282 0.736
0.736 0.736 0.282
0.740 0.740 0.740



Record 11
Mg2AlSb2 meta-GGA SCAN single point on PBEsol structure; DFT total energy = -184.7 eV per cell; space group = P4/mbm; crystal system = tetragonal; energy relative to the elements, uncorrected = -25 meV/atom
1.0
8.334 0.000 0.000
0.000 8.334 0.000
0.000 0.000 3.390
Mg Al Sb
4 2 4
Direct
0.133 0.367 0.000
0.367 0.867 0.000
0.633 0.133 0.000
0.867 0.633 0.000
0.000 0.000 0.500
0.500 0.500 0.500
0.167 0.667 0.500
0.333 0.167 0.500
0.667 0.833 0.500
0.833 0.333 0.500



Record 12
Mg2ScAl meta-GGA SCAN single point on PBEsol structure; DFT total energy = -64.7 eV per cell; space group = Immm; crystal system = orthorhombic
1.0
3.369 0.000 0.000
0.000 4.835 0.000
0.000 0.000 10.239
Mg Sc Al
4 2 2
Direct
0.000 0.000 0.236
0.000 0.000 0.764
0.500 0.500 0.264
0.500 0.500 0.736
0.000 0.500 0.000
0.500 0.000 0.500
0.000 0.500 0.500
0.500 0.000 0.000